Computed, not measured: Ta2MoBr after structural relaxation at the GGA-PBE level of DFT.

a b c (Å): 3.197 4.902 4.513
angles (deg): 90.00 90.00 90.00
Atoms (fractional coordinates):
Mo  0.000  0.500  0.500
Br  0.500  0.000  0.500
Ta  0.000  0.000  0.000
Ta  0.500  0.500  0.000

Results
Energy relative to the elements, uncorrected (eV/atom): 0.685
Total magnetization (μB/atom): 0.000

=====

Computed, not measured: Ta2MoBr after structural relaxation at the GGA-PBE level of DFT.

a b c (Å): 4.120 3.097 6.180
angles (deg): 72.67 90.00 90.00
Atoms (fractional coordinates):
Mo  0.500  0.750  0.750
Br  0.500  0.250  0.250
Ta  0.000  0.994  0.964
Ta  0.000  0.506  0.536

Results
Energy relative to the elements, uncorrected (eV/atom): 0.567
Total magnetization (μB/atom): 0.000

=====

Computed, not measured: TaMo2Br after structural relaxation at the GGA-PBE level of DFT.

a b c (Å): 7.518 7.518 5.932
angles (deg): 50.68 50.68 90.00
Atoms (fractional coordinates):
Mo  0.624  0.125  0.250
Mo  0.126  0.625  0.250
Mo  0.375  0.376  0.750
Mo  0.875  0.874  0.750
Br  0.500  0.500  0.000
Br  0.250  0.750  0.500
Ta  0.000  0.000  0.000
Ta  0.750  0.250  0.500

Results
Energy relative to the elements, uncorrected (eV/atom): 1.190
Total magnetization (μB/atom): 0.000

=====

Repeat the second record exactly.
Computed, not measured: Ta2MoBr after structural relaxation at the GGA-PBE level of DFT.

a b c (Å): 4.120 3.097 6.180
angles (deg): 72.67 90.00 90.00
Atoms (fractional coordinates):
Mo  0.500  0.750  0.750
Br  0.500  0.250  0.250
Ta  0.000  0.994  0.964
Ta  0.000  0.506  0.536

Results
Energy relative to the elements, uncorrected (eV/atom): 0.567
Total magnetization (μB/atom): 0.000